# 1
# ErGe2Pd7 (PBE-GGA, relaxed)
data_ErGe2Pd7
_chemical_formula_sum 'Er2 Ge4 Pd14'
_cell_length_a 7.3527
_cell_length_b 12.1376
_cell_length_c 4.4714
_cell_angle_alpha 90.00
_cell_angle_beta 90.00
_cell_angle_gamma 90.00
_symmetry_space_group_name_H-M 'C m m m'
_symmetry_Int_Tables_number 65
_symmetry_space_group_name_Hall '-C 2 2'
loop_
_atom_site_label
_atom_site_type_symbol
_atom_site_fract_x
_atom_site_fract_y
_atom_site_fract_z
_atom_site_occupancy
Er1 Er 0.0000 0.0000 0.0000 1
Ge1 Ge 0.0000 0.3024 0.5000 1
Pd1 Pd 0.0000 0.2290 0.0000 1
Pd2 Pd 0.0000 0.5000 0.5000 1
Pd3 Pd 0.1869 0.1212 0.5000 1
# ρ = 8.801 g/cm3
# calculated volume = 19.95 Å³ per atom
# E_form = -32.13 kJ/mol of atoms
# ΔE to the lowest computed polymorph = 327 meV per atom

=====

# 2
# Np3Tl4SnSe8 (PBE-GGA, relaxed)
data_Np3Tl4SnSe8
_chemical_formula_sum 'Np6 Tl8 Sn2 Se16'
_cell_length_a 14.8717
_cell_length_b 8.5677
_cell_length_c 9.1202
_cell_angle_alpha 90.00
_cell_angle_beta 122.94
_cell_angle_gamma 90.00
_symmetry_space_group_name_H-M 'C 1 2/m 1'
_symmetry_Int_Tables_number 12
loop_
_symmetry_equiv_pos_as_xyz
'x,y,z'
'-x,-y,-z'
'-x,y,-z'
'x,-y,z'
'x+1/2,y+1/2,z'
'-x+1/2,-y+1/2,-z'
'-x+1/2,y+1/2,-z'
'x+1/2,-y+1/2,z'
loop_
_atom_site_label
_atom_site_type_symbol
_atom_site_fract_x
_atom_site_fract_y
_atom_site_fract_z
_atom_site_occupancy
Np1 Np 0.0000 0.0000 0.0000 1
Np2 Np 0.2500 0.2500 0.0000 1
Tl1 Tl 0.0000 0.0000 0.5000 1
Tl2 Tl 0.0000 0.5000 0.5000 1
Tl3 Tl 0.2500 0.2500 0.5000 1
Sn1 Sn 0.0000 0.5000 0.0000 1
Se1 Se 0.0175 0.2412 0.7944 1
Se2 Se 0.2352 0.0000 0.2041 1
Se3 Se 0.2406 0.5000 0.2035 1
# electronic total energy = -5.804 eV per atom
# ρ = 7.760 g/cm3
# calculated volume = 30.48 Å³ per atom

=====

# 3
# Tb12Y6Sc (PBE-GGA, relaxed)
data_Tb12Y6Sc
_chemical_formula_sum 'Tb36 Y18 Sc3'
_cell_length_a 15.9125
_cell_length_b 15.9125
_cell_length_c 8.8667
_cell_angle_alpha 90.00
_cell_angle_beta 90.00
_cell_angle_gamma 120.00
_symmetry_space_group_name_H-M 'R -3 m'
_symmetry_Int_Tables_number 166
_symmetry_space_group_name_Hall '-R 3 2"'
loop_
_atom_site_label
_atom_site_type_symbol
_atom_site_fract_x
_atom_site_fract_y
_atom_site_fract_z
_atom_site_occupancy
Tb1 Tb 0.0000 0.3895 0.0000 1
Tb2 Tb 0.0837 0.1675 0.6637 1
Y1 Y 0.0781 0.5391 0.6813 1
Sc1 Sc 0.0000 0.0000 0.5000 1
# ρ = 6.368 g/cm3
# calculated volume = 34.11 Å³ per atom
# E_form = 39.45 kJ/mol of atoms
# ΔE to the lowest computed polymorph = 244 meV per atom

=====

# 4
# Cs3MgH5 (PBE-GGA, relaxed)
data_Cs3MgH5
_chemical_formula_sum 'Cs12 Mg4 H20'
_cell_length_a 8.3371
_cell_length_b 8.3371
_cell_length_c 12.7570
_cell_angle_alpha 90.00
_cell_angle_beta 90.00
_cell_angle_gamma 90.00
_symmetry_space_group_name_H-M 'I 4/m c m'
_symmetry_Int_Tables_number 140
_symmetry_space_group_name_Hall '-I 4 2c'
loop_
_atom_site_label
_atom_site_type_symbol
_atom_site_fract_x
_atom_site_fract_y
_atom_site_fract_z
_atom_site_occupancy
Cs1 Cs 0.0000 0.0000 0.2500 1
Cs2 Cs 0.1799 0.3201 0.0000 1
Mg1 Mg 0.0000 0.5000 0.2500 1
H1 H 0.0000 0.0000 0.0000 1
H2 H 0.1258 0.3742 0.3383 1
# electronic total energy = -2.557 eV per atom
# ρ = 3.207 g/cm3
# calculated volume = 24.63 Å³ per atom

=====

# 5
# IrRh2Cl (PBE-GGA, relaxed)
data_IrRh2Cl
_chemical_formula_sum 'Ir1 Rh2 Cl1'
_cell_length_a 2.7615
_cell_length_b 4.6577
_cell_length_c 4.7701
_cell_angle_alpha 90.00
_cell_angle_beta 90.00
_cell_angle_gamma 90.00
_symmetry_space_group_name_H-M 'P m m 2'
_symmetry_Int_Tables_number 25
loop_
_symmetry_equiv_pos_as_xyz
'x,y,z'
'-x,-y,z'
'-x,y,z'
'x,-y,z'
loop_
_atom_site_label
_atom_site_type_symbol
_atom_site_fract_x
_atom_site_fract_y
_atom_site_fract_z
_atom_site_occupancy
Ir1 Ir 0.0000 0.0000 0.0000 1
Rh1 Rh 0.5000 0.0000 0.5004 1
Rh2 Rh 0.5000 0.5000 0.9301 1
Cl1 Cl 0.5000 0.5000 0.4271 1
# ρ = 11.732 g/cm3
# calculated volume = 15.34 Å³ per atom
# ΔE to the lowest computed polymorph = 120 meV per atom

=====

# 6
# Zn2RuRh (PBE-GGA, relaxed)
data_Zn2RuRh
_chemical_formula_sum 'Zn4 Ru2 Rh2'
_cell_length_a 8.5418
_cell_length_b 2.7335
_cell_length_c 4.8952
_cell_angle_alpha 90.00
_cell_angle_beta 99.99
_cell_angle_gamma 90.00
_symmetry_space_group_name_H-M 'C 1 2/m 1'
_symmetry_Int_Tables_number 12
loop_
_symmetry_equiv_pos_as_xyz
'x,y,z'
'-x,-y,-z'
'-x,y,-z'
'x,-y,z'
'x+1/2,y+1/2,z'
'-x+1/2,-y+1/2,-z'
'-x+1/2,y+1/2,-z'
'x+1/2,-y+1/2,z'
loop_
_atom_site_label
_atom_site_type_symbol
_atom_site_fract_x
_atom_site_fract_y
_atom_site_fract_z
_atom_site_occupancy
Zn1 Zn 0.2491 0.0000 0.2491 1
Ru1 Ru 0.0000 0.0000 0.5000 1
Rh1 Rh 0.0000 0.5000 0.0000 1
# ρ = 9.878 g/cm3
# calculated volume = 14.07 Å³ per atom
# E_form = -9.52 kJ/mol of atoms

=====

Which of these has the highest ρ? IrRh2Cl

=====

The highest ρ belongs to which entry? IrRh2Cl

=====

Look up the ρ of the sixth one. 9.878 g/cm3

=====

Please write out number 3 again, unchanged.
# Tb12Y6Sc (PBE-GGA, relaxed)
data_Tb12Y6Sc
_chemical_formula_sum 'Tb36 Y18 Sc3'
_cell_length_a 15.9125
_cell_length_b 15.9125
_cell_length_c 8.8667
_cell_angle_alpha 90.00
_cell_angle_beta 90.00
_cell_angle_gamma 120.00
_symmetry_space_group_name_H-M 'R -3 m'
_symmetry_Int_Tables_number 166
_symmetry_space_group_name_Hall '-R 3 2"'
loop_
_atom_site_label
_atom_site_type_symbol
_atom_site_fract_x
_atom_site_fract_y
_atom_site_fract_z
_atom_site_occupancy
Tb1 Tb 0.0000 0.3895 0.0000 1
Tb2 Tb 0.0837 0.1675 0.6637 1
Y1 Y 0.0781 0.5391 0.6813 1
Sc1 Sc 0.0000 0.0000 0.5000 1
# ρ = 6.368 g/cm3
# calculated volume = 34.11 Å³ per atom
# E_form = 39.45 kJ/mol of atoms
# ΔE to the lowest computed polymorph = 244 meV per atom